1.
Material: LiCa2Rh2
Method: DFT, PBE
State: optimized geometry

energy relative to the elements	-29.3	kJ/mol of atoms
total moment	0.40	μB per formula unit
final energy	-44.3	eV/cell
N(E_F)	0.677	states/eV/atom

Cell: 5.562 5.490 8.088 Å, 101.39 90.00 120.43°
Fractional positions:
Li (0.876, 0.000, 0.250)
Li (0.124, 0.000, 0.750)
Ca (0.513, 0.304, 0.152)
Ca (0.209, 0.696, 0.348)
Ca (0.487, 0.696, 0.848)
Ca (0.791, 0.304, 0.652)
Rh (0.737, 0.742, 0.496)
Rh (0.995, 0.258, 0.004)
Rh (0.263, 0.258, 0.504)
Rh (0.005, 0.742, 0.996)

=====

2.
Material: YCrGe2
Method: DFT, PBE
State: optimized geometry

energy relative to the elements	-36.2	kJ/mol of atoms
total moment	2.48	μB per formula unit
final energy	-26.8	eV/cell
N(E_F)	0.618	states/eV/atom

Cell: 4.182 4.182 5.614 Å, 68.13 68.13 60.00°
Fractional positions:
Y (0.000, 0.000, 0.000)
Cr (0.500, 0.500, 0.500)
Ge (0.776, 0.776, 0.672)
Ge (0.224, 0.224, 0.328)

=====

3.
Material: La4OsSe3
Method: DFT, PBE
State: optimized geometry

total moment	0.00	μB per formula unit
final energy	-106.9	eV/cell
ΔE_f (raw)	-1.50	eV/atom
N(E_F)	0.693	states/eV/atom

Cell: 7.391 7.659 8.662 Å, 90.00 90.00 109.87°
Fractional positions:
Os (0.750, 0.000, 0.870)
Os (0.250, 0.000, 0.130)
Se (0.750, 0.000, 0.380)
Se (0.250, 0.000, 0.620)
Se (0.750, 0.500, 0.619)
Se (0.750, 0.500, 0.126)
Se (0.250, 0.500, 0.381)
Se (0.250, 0.500, 0.874)
La (0.979, 0.235, 0.646)
La (0.500, 0.227, 0.886)
La (0.479, 0.235, 0.354)
La (0.000, 0.227, 0.114)
La (0.000, 0.773, 0.886)
La (0.521, 0.765, 0.646)
La (0.500, 0.773, 0.114)
La (0.021, 0.765, 0.354)

=====

4.
Material: BaScNi
Method: DFT, PBE
State: optimized geometry

energy relative to the elements	-0.1	kJ/mol of atoms
total moment	0.00	μB per formula unit
final energy	-56.2	eV/cell
N(E_F)	1.093	states/eV/atom

Cell: 3.845 12.641 6.734 Å, 90.00 90.00 90.00°
Fractional positions:
Ba (0.000, 0.714, 0.250)
Ba (0.000, 0.286, 0.750)
Ba (0.500, 0.214, 0.250)
Ba (0.500, 0.786, 0.750)
Sc (0.000, 0.000, 0.000)
Sc (0.000, 0.000, 0.500)
Sc (0.500, 0.500, 0.000)
Sc (0.500, 0.500, 0.500)
Ni (0.000, 0.434, 0.250)
Ni (0.000, 0.566, 0.750)
Ni (0.500, 0.934, 0.250)
Ni (0.500, 0.066, 0.750)

=====

5.
Material: MnCr2Ru
Method: DFT, PBE
State: optimized geometry

energy relative to the elements	17.6	kJ/mol of atoms
total moment	0.55	μB per formula unit
final energy	-37.0	eV/cell
N(E_F)	1.419	states/eV/atom

Cell: 2.644 3.558 5.221 Å, 90.00 90.00 90.00°
Fractional positions:
Cr (0.000, 0.000, 0.003)
Cr (0.500, 0.500, 0.257)
Mn (0.000, 0.000, 0.485)
Ru (0.500, 0.500, 0.756)

=====

6.
Material: SrMn2Cd
Method: DFT, PBE
State: optimized geometry

energy relative to the elements	63.7	kJ/mol of atoms
total moment	7.34	μB per formula unit
final energy	-36.6	eV/cell
N(E_F)	1.590	states/eV/atom

Cell: 4.965 4.965 10.206 Å, 75.92 75.92 90.00°
Fractional positions:
Sr (0.500, 0.500, 0.000)
Sr (0.250, 0.750, 0.500)
Mn (0.875, 0.125, 0.250)
Mn (0.875, 0.625, 0.250)
Mn (0.375, 0.125, 0.750)
Mn (0.875, 0.125, 0.750)
Cd (0.000, 0.000, 0.000)
Cd (0.750, 0.250, 0.500)

=====

7.
Material: Tm4Tl2CdAu
Method: DFT, PBE
State: optimized geometry

energy relative to the elements	-42.8	kJ/mol of atoms
total moment	0.00	μB per formula unit
final energy	-30.4	eV/cell
N(E_F)	0.683	states/eV/atom

Cell: 5.224 5.224 9.018 Å, 73.16 73.16 60.00°
Fractional positions:
Tm (0.381, 0.381, 0.858)
Tm (0.870, 0.870, 0.389)
Tm (0.130, 0.130, 0.611)
Tm (0.619, 0.619, 0.142)
Tl (0.745, 0.745, 0.765)
Tl (0.255, 0.255, 0.235)
Cd (0.000, 0.000, 0.000)
Au (0.500, 0.500, 0.500)

=====

8.
Material: PmInGa2Pt5
Method: DFT, PBE
State: optimized geometry

energy relative to the elements	-57.9	kJ/mol of atoms
total moment	0.00	μB per formula unit
final energy	-49.1	eV/cell
N(E_F)	0.222	states/eV/atom

Cell: 4.199 4.199 9.493 Å, 90.00 90.00 90.00°
Fractional positions:
Pm (0.000, 0.000, 0.500)
In (0.000, 0.000, 0.000)
Ga (0.500, 0.500, 0.130)
Ga (0.500, 0.500, 0.870)
Pt (0.000, 0.500, 0.275)
Pt (0.500, 0.000, 0.275)
Pt (0.000, 0.500, 0.725)
Pt (0.500, 0.000, 0.725)
Pt (0.500, 0.500, 0.500)

=====

9.
Material: Pa2Ni9H
Method: DFT, PBE
State: optimized geometry

total moment	0.00	μB per formula unit
final energy	-76.2	eV/cell
N(E_F)	0.330	states/eV/atom

Cell: 3.894 3.894 10.135 Å, 90.00 90.00 90.58°
Fractional positions:
Pa (0.000, 0.000, 0.304)
Pa (0.000, 0.000, 0.696)
Ni (0.500, 0.500, 0.000)
Ni (0.500, 0.500, 0.315)
Ni (0.500, 0.500, 0.685)
Ni (0.500, 0.000, 0.133)
Ni (0.500, 0.000, 0.500)
Ni (0.500, 0.000, 0.867)
Ni (0.000, 0.500, 0.133)
Ni (0.000, 0.500, 0.500)
Ni (0.000, 0.500, 0.867)
H (0.000, 0.000, 0.000)

=====

10.
Material: La5Pm4Y
Method: DFT, PBE
State: optimized geometry

energy relative to the elements	30.3	kJ/mol of atoms
total moment	0.00	μB per formula unit
final energy	-93.9	eV/cell
N(E_F)	1.633	states/eV/atom

Cell: 11.680 6.917 9.253 Å, 90.00 90.00 90.00°
Fractional positions:
La (0.282, 0.745, 0.818)
La (0.282, 0.255, 0.818)
La (0.787, 0.500, 0.000)
La (0.282, 0.745, 0.182)
La (0.282, 0.255, 0.182)
La (0.718, 0.755, 0.318)
La (0.718, 0.245, 0.318)
La (0.213, 0.000, 0.500)
La (0.718, 0.245, 0.682)
La (0.718, 0.755, 0.682)
Pm (0.996, 0.000, 0.702)
Pm (0.543, 0.755, 0.000)
Pm (0.543, 0.245, 0.000)
Pm (0.996, 0.000, 0.298)
Pm (0.004, 0.500, 0.202)
Pm (0.457, 0.745, 0.500)
Pm (0.457, 0.255, 0.500)
Pm (0.004, 0.500, 0.798)
Y (0.817, 0.000, 0.000)
Y (0.183, 0.500, 0.500)

=====

11.
Material: CeFe7B3
Method: DFT, PBE
State: optimized geometry

energy relative to the elements	-9.0	kJ/mol of atoms
total moment	11.67	μB per formula unit
final energy	-172.5	eV/cell
N(E_F)	0.814	states/eV/atom

Cell: 6.534 6.534 7.427 Å, 63.91 63.91 60.00°
Fractional positions:
Ce (0.500, 0.500, 0.500)
Ce (0.000, 0.000, 0.000)
Fe (0.649, 0.091, 0.418)
Fe (0.091, 0.842, 0.418)
Fe (0.842, 0.649, 0.418)
Fe (0.851, 0.658, 0.082)
Fe (0.409, 0.851, 0.082)
Fe (0.658, 0.409, 0.082)
Fe (0.351, 0.909, 0.582)
Fe (0.909, 0.158, 0.582)
Fe (0.158, 0.351, 0.582)
Fe (0.149, 0.342, 0.918)
Fe (0.591, 0.149, 0.918)
Fe (0.342, 0.591, 0.918)
Fe (0.750, 0.750, 0.750)
Fe (0.250, 0.250, 0.250)
B (0.435, 0.065, 0.750)
B (0.065, 0.750, 0.750)
B (0.750, 0.435, 0.750)
B (0.565, 0.935, 0.250)
B (0.935, 0.250, 0.250)
B (0.250, 0.565, 0.250)

=====

12.
Material: UTe3
Method: DFT, PBE
State: optimized geometry

total moment	1.93	μB per formula unit
final energy	-45.3	eV/cell
ΔE_f (raw)	-0.48	eV/atom
N(E_F)	1.570	states/eV/atom

Cell: 4.146 5.873 10.125 Å, 90.00 90.00 110.67°
Fractional positions:
U (0.722, 0.444, 0.750)
U (0.278, 0.556, 0.250)
Te (0.430, 0.859, 0.750)
Te (0.570, 0.141, 0.250)
Te (0.135, 0.269, 0.964)
Te (0.865, 0.731, 0.036)
Te (0.865, 0.731, 0.464)
Te (0.135, 0.269, 0.536)

=====

Question: Which value of final energy does entry 5 give?
Answer: -37.0 eV/cell

=====

Question: Which formula does entry 5 have?
Answer: MnCr2Ru